1.
A plane-wave DFT calculation with PBE was carried out for crystalline Pr2DyHo4Er2 at its relaxed geometry.

Output
The crystal system is triclinic. The energy of formation from the pure elements comes out at 0.021 eV per atom. The space group is P-1 (2).

a b c (Å): 6.166 6.168 7.968
angles (deg): 82.55 75.13 80.46
Element x y z (fractional)
Pr  0.168  0.332  0.332
Pr  0.832  0.668  0.668
Dy  0.500  0.000  0.000
Ho  0.057  0.110  0.780
Ho  0.277  0.555  0.889
Ho  0.723  0.445  0.111
Ho  0.943  0.890  0.220
Er  0.391  0.777  0.444
Er  0.609  0.223  0.556

---

2.
A plane-wave DFT calculation with PBE was carried out for crystalline Pr3Dy6Ho2Er at its relaxed geometry.

Output
The crystal system is monoclinic. The energy of formation from the pure elements comes out at 0.021 eV per atom. The space group is C2/m (12).

a b c (Å): 6.204 6.204 11.841
angles (deg): 95.00 95.00 119.98
Element x y z (fractional)
Pr  0.000  0.000  0.000
Pr  0.333  0.667  0.000
Pr  0.667  0.333  0.000
Dy  0.085  0.418  0.255
Dy  0.248  0.248  0.745
Dy  0.418  0.085  0.255
Dy  0.582  0.915  0.745
Dy  0.752  0.752  0.255
Dy  0.915  0.582  0.745
Ho  0.167  0.833  0.500
Ho  0.833  0.167  0.500
Er  0.500  0.500  0.500

---

3.
A plane-wave DFT calculation with PBE was carried out for crystalline Pr2DyHo3Er6 at its relaxed geometry.

Output
The crystal system is monoclinic. The energy of formation from the pure elements comes out at 0.021 eV per atom. The space group is C2/m (12).

a b c (Å): 6.147 6.147 11.731
angles (deg): 95.00 95.00 119.96
Element x y z (fractional)
Pr  0.167  0.833  0.000
Pr  0.833  0.167  0.000
Dy  0.500  0.500  0.000
Ho  0.000  0.000  0.500
Ho  0.334  0.666  0.500
Ho  0.666  0.334  0.500
Er  0.082  0.415  0.746
Er  0.253  0.253  0.254
Er  0.415  0.082  0.746
Er  0.585  0.918  0.254
Er  0.747  0.747  0.746
Er  0.918  0.585  0.254

---

4.
A plane-wave DFT calculation with PBE was carried out for crystalline Pr6DyHo2Er3 at its relaxed geometry.

Output
The crystal system is monoclinic. The energy of formation from the pure elements comes out at 0.013 eV per atom. The space group is C2/m (12).

a b c (Å): 6.287 6.287 11.835
angles (deg): 95.07 95.07 119.99
Element x y z (fractional)
Pr  0.083  0.416  0.249
Pr  0.250  0.250  0.751
Pr  0.416  0.083  0.249
Pr  0.584  0.917  0.751
Pr  0.750  0.750  0.249
Pr  0.917  0.584  0.751
Dy  0.500  0.500  0.500
Ho  0.167  0.833  0.500
Ho  0.833  0.167  0.500
Er  0.000  0.000  0.000
Er  0.333  0.667  0.000
Er  0.667  0.333  0.000

---

5.
A plane-wave DFT calculation with PBE was carried out for crystalline PrDy2Ho2Er at its relaxed geometry.

Output
The crystal system is orthorhombic. The energy of formation from the pure elements comes out at 0.279 eV per atom. The space group is Pnnm (58).

a b c (Å): 6.526 17.746 3.399
angles (deg): 90.00 90.00 90.00
Element x y z (fractional)
Pr  0.000  0.000  0.000
Pr  0.500  0.500  0.500
Dy  0.218  0.352  0.500
Dy  0.282  0.852  0.000
Dy  0.718  0.148  0.000
Dy  0.782  0.648  0.500
Ho  0.221  0.186  0.000
Ho  0.279  0.686  0.500
Ho  0.721  0.314  0.500
Ho  0.779  0.814  0.000
Er  0.000  0.500  0.000
Er  0.500  0.000  0.500

---

6.
A plane-wave DFT calculation with PBE was carried out for crystalline Pr6Dy3Ho2Er at its relaxed geometry.

Output
The crystal system is monoclinic. The energy of formation from the pure elements comes out at 0.012 eV per atom. The space group is C2/m (12).

a b c (Å): 6.297 6.297 11.865
angles (deg): 95.06 95.06 120.00
Element x y z (fractional)
Pr  0.083  0.417  0.751
Pr  0.250  0.250  0.249
Pr  0.417  0.083  0.751
Pr  0.583  0.917  0.249
Pr  0.750  0.750  0.751
Pr  0.917  0.583  0.249
Dy  0.000  0.000  0.500
Dy  0.333  0.667  0.500
Dy  0.667  0.333  0.500
Ho  0.167  0.833  0.000
Ho  0.833  0.167  0.000
Er  0.500  0.500  0.000

---

7.
A plane-wave DFT calculation with PBE was carried out for crystalline Pr2DyHo6Er3 at its relaxed geometry.

Output
The crystal system is monoclinic. The energy of formation from the pure elements comes out at 0.021 eV per atom. The space group is C2/m (12).

a b c (Å): 6.153 6.153 11.761
angles (deg): 94.99 94.99 119.96
Element x y z (fractional)
Pr  0.167  0.833  0.000
Pr  0.833  0.167  0.000
Dy  0.500  0.500  0.000
Ho  0.082  0.415  0.746
Ho  0.253  0.253  0.254
Ho  0.415  0.082  0.746
Ho  0.585  0.918  0.254
Ho  0.747  0.747  0.746
Ho  0.918  0.585  0.254
Er  0.000  0.000  0.500
Er  0.334  0.666  0.500
Er  0.666  0.334  0.500

---

8.
A plane-wave DFT calculation with PBE was carried out for crystalline Pr2DyHo2Er at its relaxed geometry.

Output
The crystal system is orthorhombic. The energy of formation from the pure elements comes out at 0.067 eV per atom. The space group is Pmma (51).

a b c (Å): 7.032 5.661 9.815
angles (deg): 90.00 90.00 90.00
Element x y z (fractional)
Pr  0.000  0.000  0.000
Pr  0.250  0.500  0.178
Pr  0.500  0.000  0.000
Pr  0.750  0.500  0.822
Dy  0.250  0.000  0.658
Dy  0.750  0.000  0.342
Ho  0.250  0.000  0.333
Ho  0.250  0.500  0.835
Ho  0.750  0.000  0.667
Ho  0.750  0.500  0.165
Er  0.000  0.500  0.500
Er  0.500  0.500  0.500